The following is a DFT calculation (PBE) of a relaxed structure of Cs2AcGaTe4.

Results
- E_form (uncorrected) (eV/atom) = -0.86
- total moment (μB/atom) = 0.0000

Cell: 13.6357 14.2104 10.0146 Å, 90.00 131.36 90.00°
With the nearest neighbours (Å) after each atom.
Space group C2/c (No. 15)
Inequivalent atoms, fractional coordinates:
Cs1 0.0000 0.0000 0.0000 [4 per cell]  4 Te 3.60-3.78
Cs2 0.2500 0.2500 0.0000 [4 per cell]  4 Te 3.74-3.80
Ac1 0.0000 0.5000 0.0000 [4 per cell]  6 Te 3.28-3.52
Ga1 0.2500 0.2500 0.5000 [4 per cell]  2 Te 2.58
Te1 0.0674 0.2593 0.5126 [8 per cell]  1 Ga 2.58
Te2 0.2124 0.4840 0.4465 [8 per cell]  2 Ac 3.28-3.36, 1 Ga 3.35, 1 Cs 3.60

---

The following is a DFT calculation (PBE) of a relaxed structure of CsAcGaTe3.

Results
- E_form (uncorrected) (eV/atom) = -1.06
- total moment (μB/atom) = 0.0000

Cell: 10.3290 5.0948 10.8938 Å, 90.00 106.80 90.00°
With the nearest neighbours (Å) after each atom.
Space group P2_1/m (No. 11)
Inequivalent atoms, fractional coordinates:
Cs1 0.1990 0.2500 0.2378 [2 per cell]  7 Te 3.96-4.11, 1 Ga 4.23
Ac1 0.3324 0.7500 0.8536 [2 per cell]  6 Te 3.29-3.42
Ga1 0.1030 0.2500 0.5900 [2 per cell]  4 Te 2.77-2.85
Te1 0.1139 0.2500 0.8468 [2 per cell]  1 Ga 2.77
Te2 0.1820 0.7500 0.5292 [2 per cell]  3 Ga 2.81-2.85
Te3 0.4624 0.7500 0.1672 [2 per cell]  3 Ac 3.29-3.36

---

The following is a DFT calculation (PBE) of a relaxed structure of CsAc2GaTe4.

Results
- E_form (uncorrected) (eV/atom) = -1.19
- total moment (μB/atom) = 0.0000

Cell: 4.8427 15.6563 18.3741 Å, 90.00 90.00 90.00°
With the nearest neighbours (Å) after each atom.
Space group Cmcm (No. 63)
Inequivalent atoms, fractional coordinates:
Cs1 0.0000 0.1125 0.2500 [4 per cell]  2 Ga 3.82, 6 Te 3.94-4.15
Ac1 0.0000 0.3673 0.0647 [8 per cell]  6 Te 3.29-3.48
Ga1 0.0000 0.1989 0.7500 [4 per cell]  4 Te 2.99-3.05
Te1 0.0000 0.0000 0.0000 [4 per cell]  4 Ac 3.40
Te2 0.0000 0.2707 0.5956 [8 per cell]  1 Ga 3.05, 3 Ac 3.29-3.31
Te3 0.0000 0.4136 0.2500 [4 per cell]  2 Ga 2.99

---

The following is a DFT calculation (PBE) of a relaxed structure of CsAcGe.

Results
- ΔE_f (eV per atom) = -0.042
- total moment (μB/atom) = 0.0000

Cell: 4.9755 4.9755 7.5437 Å, 90.00 90.00 120.00°
With the nearest neighbours (Å) after each atom.
Space group P3m1 (No. 156)
Inequivalent atoms, fractional coordinates:
Cs1 0.0000 0.0000 0.0000 [1 per cell]  3 Ge 3.77
Ac1 0.3333 0.6667 0.4690 [1 per cell]  3 Ge 3.07
Ge1 0.6667 0.3333 0.3240 [1 per cell]  3 Ac 3.07